Here is an optimized crystal structure of PuRuRh from Alexandria via LeMat-Bulk. Energies are from GGA-PBE.

Values from the calculation:
Its total energy is -10.63 eV/atom. The value obtained for the formation energy from the elements is -0.308 eV per atom. The value obtained for the energy above the most stable polymorph in this dataset is 0 meV per atom.

Lattice parameters (Å, degrees): 5.2236 5.3409 5.3409 60.26 60.72 60.72
Closest atoms and distances in Å follow each position.
Sites, in units of the cell vectors:
Pu 0.8750 0.3750 0.3750  6 Rh 3.09-3.16, 6 Ru 3.13-3.14, 4 Pu 3.23-3.29
Pu 0.1250 0.6250 0.6250  6 Rh 3.09-3.16, 6 Ru 3.13-3.14, 4 Pu 3.23-3.29
Ru 0.0000 0.0000 0.0000  2 Ru 2.61, 4 Rh 2.67
Ru 0.5000 0.0000 0.0000  2 Ru 2.61, 4 Rh 2.67
Rh 0.5000 0.5000 0.0000  4 Ru 2.67, 2 Rh 2.68
Rh 0.5000 0.0000 0.5000  4 Ru 2.67, 2 Rh 2.68